[1]
Below is TaBe2ZnW at its PBEsol-relaxed geometry, with properties calculated at the SCAN level.

```
5
Lattice="3.960 0.000 0.000 0.000 3.960 0.000 0.000 0.000 4.657" Properties=species:S:1:pos:R:3 pbc="T T T"
Be 0.000 1.980 0.000
W 0.000 0.000 2.329
Be 1.980 0.000 0.000
Zn 0.000 0.000 0.000
Ta 1.980 1.980 2.329
```

Calculated values
The value obtained for the energy of formation from the pure elements is 0.9398 eV per atom. For the uncorrected energy, the calculation gives -30.76 eV/atom. The total moment comes out at 0.00 μB per atom.

---

[2]
Below is YTa2Be at its PBEsol-relaxed geometry, with properties calculated at the SCAN level.

```
4
Lattice="-1.871 -3.066 -1.862 -1.345 -1.348 3.570 -3.617 2.468 -0.431" Properties=species:S:1:pos:R:3 pbc="T T T"
Ta -0.935 -1.533 -0.931
Ta -0.673 -0.674 1.785
Be -1.808 1.234 -0.216
Y -3.416 -0.973 0.638
```

Calculated values
The value obtained for the energy of formation from the pure elements is 0.4618 eV per atom. The energy above the most stable polymorph in this dataset is 42 meV per atom. For the uncorrected energy, the calculation gives -40.88 eV/atom. The total moment comes out at 0.00 μB per atom.

---

[3]
Below is YTaBe at its PBEsol-relaxed geometry, with properties calculated at the SCAN level.

```
3
Lattice="4.488 0.000 0.000 2.244 3.887 0.000 2.244 1.296 3.665" Properties=species:S:1:pos:R:3 pbc="T T T"
Ta 2.244 1.296 0.916
Y 0.000 0.000 0.000
Be 4.488 2.591 1.832
```

Calculated values
The value obtained for the energy of formation from the pure elements is 1.3230 eV per atom. The energy above the most stable polymorph in this dataset is 765 meV per atom. For the uncorrected energy, the calculation gives -31.60 eV/atom. The total moment comes out at 0.68 μB per atom.

---

[4]
Below is YTaBe at its PBEsol-relaxed geometry, with properties calculated at the SCAN level.

```
3
Lattice="3.147 0.000 0.000 -1.573 2.725 0.000 0.000 0.000 6.500" Properties=species:S:1:pos:R:3 pbc="T T T"
Be 0.000 0.000 6.363
Ta 0.000 1.817 4.608
Y 1.573 0.908 2.029
```

Calculated values
The value obtained for the energy of formation from the pure elements is 0.5577 eV per atom. The energy above the most stable polymorph in this dataset is 0 meV per atom. For the uncorrected energy, the calculation gives -32.37 eV/atom. The total moment comes out at 0.00 μB per atom.